Li4Nb2Cr3Cu3O16: PBEsol geometry, SCAN.

a = 5.942 Å, b = 5.942 Å, c = 9.548 Å
α = 92.08°, β = 92.08°, γ = 57.89°
Sites, in units of the cell vectors:
Li1 0.000 0.000 0.000
Li2 0.011 0.011 0.511
Li3 0.338 0.338 0.414
Li4 0.646 0.646 0.914
Nb1 0.333 0.333 0.012
Nb2 0.675 0.675 0.511
Cr1 0.172 0.172 0.746
Cr2 0.347 0.839 0.232
Cr3 0.839 0.347 0.232
Cu1 0.171 0.657 0.723
Cu2 0.657 0.171 0.723
Cu3 0.835 0.835 0.229
O1 0.008 0.008 0.804
O2 0.018 0.449 0.870
O3 0.019 0.019 0.319
O4 0.165 0.165 0.118
O5 0.167 0.675 0.110
O6 0.314 0.314 0.634
O7 0.350 0.861 0.605
O8 0.449 0.018 0.870
O9 0.464 0.464 0.859
O10 0.514 0.968 0.346
O11 0.525 0.525 0.352
O12 0.641 0.641 0.120
O13 0.675 0.167 0.110
O14 0.848 0.848 0.597
O15 0.861 0.350 0.605
O16 0.968 0.514 0.346

formation energy from raw total energies: -2.072 eV per atom
SG: Cm (8)

=====

Zr2CrCl: PBEsol geometry, SCAN.

a = 3.121 Å, b = 3.328 Å, c = 14.326 Å
α = 90.00°, β = 90.00°, γ = 90.00°
Sites, in units of the cell vectors:
Zr1 0.000 0.000 0.000
Zr2 0.000 0.500 0.281
Zr3 0.500 0.000 0.781
Zr4 0.500 0.500 0.500
Cr1 0.000 0.000 0.412
Cr2 0.500 0.500 0.912
Cl1 0.000 0.500 0.664
Cl2 0.500 0.000 0.164

formation energy from raw total energies: -0.186 eV per atom
SG: Imm2 (44)
polymorph energy (0 for the lowest one): 319.6 meV/atom

=====

MgCdSi2: PBEsol geometry, SCAN.

a = 6.614 Å, b = 6.614 Å, c = 6.614 Å
α = 90.00°, β = 90.00°, γ = 90.00°
Sites, in units of the cell vectors:
Mg1 0.000 0.000 0.000
Mg2 0.000 0.500 0.500
Mg3 0.500 0.000 0.500
Mg4 0.500 0.500 0.000
Cd1 0.250 0.250 0.250
Cd2 0.250 0.750 0.750
Cd3 0.750 0.250 0.750
Cd4 0.750 0.750 0.250
Si1 0.000 0.000 0.500
Si2 0.000 0.500 0.000
Si3 0.250 0.250 0.750
Si4 0.250 0.750 0.250
Si5 0.500 0.000 0.000
Si6 0.500 0.500 0.500
Si7 0.750 0.250 0.250
Si8 0.750 0.750 0.750

formation energy from raw total energies: 0.458 eV per atom
SG: F-43m (216)
polymorph energy (0 for the lowest one): 145.8 meV/atom